Entry 1:
{"formula": "K2TcOs", "functional": "PBE", "state": "relaxed", "cell": [[0.000, 3.809, 3.809], [3.809, 0.000, 3.809], [3.809, 3.809, 0.000]], "species": ["K", "K", "Tc", "Os"], "fractional_positions": [[0.250, 0.250, 0.250], [0.750, 0.750, 0.750], [0.000, 0.000, 0.000], [0.500, 0.500, 0.500]], "delta_e_f_ev_per_atom": 2.397, "de_polymorph_mev_per_atom": 1650.2, "e_tot_ev_per_atom": -3.551, "vol_a3_per_atom": 27.64, "density_g_cm3": 5.50}

---

Entry 2:
{"formula": "KTc2Os", "functional": "PBE", "state": "relaxed", "cell": [[4.887, 0.000, 0.000], [0.000, 4.887, 0.000], [0.000, 0.000, 2.781]], "species": ["K", "Tc", "Tc", "Os"], "fractional_positions": [[0.000, 0.000, 0.000], [0.000, 0.500, 0.500], [0.500, 0.000, 0.500], [0.500, 0.500, 0.000]], "delta_e_f_ev_per_atom": 1.540, "de_polymorph_mev_per_atom": 833.1, "e_tot_ev_per_atom": -6.725, "vol_a3_per_atom": 16.60, "density_g_cm3": 10.64}